No. 1
# Pm4CoAu2 | Alexandria via LeMat-Bulk | PBE-GGA | optimized geometry
data_Pm4CoAu2
_chemical_formula_sum 'Pm4 Co1 Au2'
_cell_length_a 8.3532
_cell_length_b 8.3532
_cell_length_c 8.3532
_cell_angle_alpha 144.15
_cell_angle_beta 144.15
_cell_angle_gamma 51.60
_space_group_name_H-M_alt 'P 1'
_space_group_IT_number 1
loop_
_space_group_symop_operation_xyz
'x,y,z'
loop_
_atom_site_label
_atom_site_fract_x
_atom_site_fract_y
_atom_site_fract_z
_atom_site_occupancy
Pm1 0.0000 0.5000 0.5000 1
Pm2 0.1839 0.1839 0.0000 1
Pm3 0.5000 0.0000 0.5000 1
Pm4 0.8161 0.8161 0.0000 1
Co1 0.0000 0.0000 0.0000 1
Au1 0.3776 0.3776 0.0000 1
Au2 0.6224 0.6224 0.0000 1
# Spin magnetization ... 0.00 μB/atom
# E above lowest polymorph ... 0.128 eV per atom
# Formation energy ... -312 meV/atom
# Calculated volume ... 28.40 Å³ per atom

No. 2
# TbEu2Ag | Alexandria via LeMat-Bulk | PBE-GGA | optimized geometry
data_TbEu2Ag
_chemical_formula_sum 'Tb1 Eu2 Ag1'
_cell_length_a 4.8617
_cell_length_b 4.8617
_cell_length_c 5.1829
_cell_angle_alpha 90.00
_cell_angle_beta 90.00
_cell_angle_gamma 90.00
_space_group_name_H-M_alt 'P 1'
_space_group_IT_number 1
loop_
_space_group_symop_operation_xyz
'x,y,z'
loop_
_atom_site_label
_atom_site_fract_x
_atom_site_fract_y
_atom_site_fract_z
_atom_site_occupancy
Tb1 0.0000 0.0000 0.0000 1
Eu1 0.0000 0.5000 0.5000 1
Eu2 0.5000 0.0000 0.5000 1
Ag1 0.5000 0.5000 0.0000 1
# Spin magnetization ... 3.84 μB/atom
# E above lowest polymorph ... 0.118 eV per atom
# Formation energy ... 51 meV/atom
# Calculated volume ... 30.63 Å³ per atom

No. 3
# Ce3Th3TcAu2 | Alexandria via LeMat-Bulk | PBE-GGA | optimized geometry
data_Ce3Th3TcAu2
_chemical_formula_sum 'Ce3 Th3 Tc1 Au2'
_cell_length_a 8.5576
_cell_length_b 8.5576
_cell_length_c 3.7766
_cell_angle_alpha 90.00
_cell_angle_beta 90.00
_cell_angle_gamma 120.00
_space_group_name_H-M_alt 'P 1'
_space_group_IT_number 1
loop_
_space_group_symop_operation_xyz
'x,y,z'
loop_
_atom_site_label
_atom_site_fract_x
_atom_site_fract_y
_atom_site_fract_z
_atom_site_occupancy
Ce1 0.0000 0.4061 0.0000 1
Ce2 0.4061 0.0000 0.0000 1
Ce3 0.5939 0.5939 0.0000 1
Th1 0.0000 0.7507 0.5000 1
Th2 0.2493 0.2493 0.5000 1
Th3 0.7507 0.0000 0.5000 1
Tc1 0.0000 0.0000 0.0000 1
Au1 0.3333 0.6667 0.5000 1
Au2 0.6667 0.3333 0.5000 1
# Spin magnetization ... 0.21 μB/atom
# Formation energy ... -321 meV/atom
# Calculated volume ... 26.61 Å³ per atom

No. 4
# Na3Zn5F12 | Alexandria via LeMat-Bulk | PBE-GGA | optimized geometry
data_Na3Zn5F12
_chemical_formula_sum 'Na12 Zn20 F48'
_cell_length_a 11.2927
_cell_length_b 11.2927
_cell_length_c 11.2927
_cell_angle_alpha 109.47
_cell_angle_beta 109.47
_cell_angle_gamma 109.47
_space_group_name_H-M_alt 'P 1'
_space_group_IT_number 1
loop_
_space_group_symop_operation_xyz
'x,y,z'
loop_
_atom_site_label
_atom_site_fract_x
_atom_site_fract_y
_atom_site_fract_z
_atom_site_occupancy
Na1 0.1250 0.2500 0.3750 1
Na2 0.1250 0.3750 0.7500 1
Na3 0.2500 0.3750 0.1250 1
Na4 0.2500 0.8750 0.6250 1
Na5 0.3750 0.1250 0.2500 1
Na6 0.3750 0.7500 0.1250 1
Na7 0.6250 0.2500 0.8750 1
Na8 0.6250 0.8750 0.7500 1
Na9 0.7500 0.1250 0.3750 1
Na10 0.7500 0.6250 0.8750 1
Na11 0.8750 0.6250 0.2500 1
Na12 0.8750 0.7500 0.6250 1
Zn1 0.0000 0.0000 0.0000 1
Zn2 0.0000 0.0000 0.5000 1
Zn3 0.0000 0.5000 0.0000 1
Zn4 0.0000 0.5000 0.5000 1
Zn5 0.1250 0.7500 0.8750 1
Zn6 0.1250 0.8750 0.2500 1
Zn7 0.2500 0.1250 0.8750 1
Zn8 0.2500 0.6250 0.3750 1
Zn9 0.3750 0.2500 0.6250 1
Zn10 0.3750 0.6250 0.7500 1
Zn11 0.5000 0.0000 0.0000 1
Zn12 0.5000 0.0000 0.5000 1
Zn13 0.5000 0.5000 0.0000 1
Zn14 0.5000 0.5000 0.5000 1
Zn15 0.6250 0.3750 0.2500 1
Zn16 0.6250 0.7500 0.3750 1
Zn17 0.7500 0.3750 0.6250 1
Zn18 0.7500 0.8750 0.1250 1
Zn19 0.8750 0.1250 0.7500 1
Zn20 0.8750 0.2500 0.1250 1
F1 0.0270 0.2032 0.1214 1
F2 0.0270 0.3238 0.9056 1
F3 0.0818 0.7032 0.6762 1
F4 0.0818 0.8786 0.4056 1
F5 0.0944 0.6214 0.4182 1
F6 0.0944 0.9730 0.6762 1
F7 0.1214 0.0270 0.2032 1
F8 0.1214 0.5944 0.9182 1
F9 0.1762 0.2032 0.5818 1
F10 0.1762 0.4730 0.5944 1
F11 0.2032 0.1214 0.0270 1
F12 0.2032 0.5818 0.1762 1
F13 0.2968 0.3238 0.9182 1
F14 0.2968 0.4730 0.3786 1
F15 0.3238 0.9056 0.0270 1
F16 0.3238 0.9182 0.2968 1
F17 0.3786 0.2968 0.4730 1
F18 0.3786 0.5818 0.9056 1
F19 0.4056 0.0818 0.8786 1
F20 0.4056 0.8238 0.5270 1
F21 0.4182 0.0944 0.6214 1
F22 0.4182 0.8238 0.7968 1
F23 0.4730 0.3786 0.2968 1
F24 0.4730 0.5944 0.1762 1
F25 0.5270 0.4056 0.8238 1
F26 0.5270 0.6214 0.7032 1
F27 0.5818 0.1762 0.2032 1
F28 0.5818 0.9056 0.3786 1
F29 0.5944 0.1762 0.4730 1
F30 0.5944 0.9182 0.1214 1
F31 0.6214 0.4182 0.0944 1
F32 0.6214 0.7032 0.5270 1
F33 0.6762 0.0818 0.7032 1
F34 0.6762 0.0944 0.9730 1
F35 0.7032 0.5270 0.6214 1
F36 0.7032 0.6762 0.0818 1
F37 0.7968 0.4182 0.8238 1
F38 0.7968 0.8786 0.9730 1
F39 0.8238 0.5270 0.4056 1
F40 0.8238 0.7968 0.4182 1
F41 0.8786 0.4056 0.0818 1
F42 0.8786 0.9730 0.7968 1
F43 0.9056 0.0270 0.3238 1
F44 0.9056 0.3786 0.5818 1
F45 0.9182 0.1214 0.5944 1
F46 0.9182 0.2968 0.3238 1
F47 0.9730 0.6762 0.0944 1
F48 0.9730 0.7968 0.8786 1
# Spin magnetization ... 0.00 μB/atom
# E_form (uncorrected) ... -46.62 eV/f.u.
# Calculated volume ... 13.86 Å³ per atom

No. 5
# KCuIr2Pd | Alexandria via LeMat-Bulk | PBE-GGA | optimized geometry
data_KCuIr2Pd
_chemical_formula_sum 'K1 Cu1 Ir2 Pd1'
_cell_length_a 4.8113
_cell_length_b 4.8113
_cell_length_c 5.4887
_cell_angle_alpha 90.00
_cell_angle_beta 90.00
_cell_angle_gamma 90.00
_space_group_name_H-M_alt 'P 1'
_space_group_IT_number 1
loop_
_space_group_symop_operation_xyz
'x,y,z'
loop_
_atom_site_label
_atom_site_fract_x
_atom_site_fract_y
_atom_site_fract_z
_atom_site_occupancy
K1 0.0000 0.0000 0.0000 1
Cu1 0.5000 0.5000 0.0000 1
Ir1 0.0000 0.5000 0.5000 1
Ir2 0.5000 0.0000 0.5000 1
Pd1 0.0000 0.0000 0.5000 1
# Spin magnetization ... 0.26 μB/atom
# Formation energy ... 1743 meV/atom
# Calculated volume ... 25.41 Å³ per atom

No. 6
# KFeRe2 | Alexandria via LeMat-Bulk | PBE-GGA | optimized geometry
data_KFeRe2
_chemical_formula_sum 'K1 Fe1 Re2'
_cell_length_a 2.7224
_cell_length_b 2.7224
_cell_length_c 10.1405
_cell_angle_alpha 90.00
_cell_angle_beta 90.00
_cell_angle_gamma 111.70
_space_group_name_H-M_alt 'P 1'
_space_group_IT_number 1
loop_
_space_group_symop_operation_xyz
'x,y,z'
loop_
_atom_site_label
_atom_site_fract_x
_atom_site_fract_y
_atom_site_fract_z
_atom_site_occupancy
K1 0.0000 0.0000 0.0000 1
Fe1 0.5000 0.5000 0.2938 1
Re1 0.0000 0.0000 0.4907 1
Re2 0.5000 0.5000 0.7056 1
# Spin magnetization ... 0.61 μB/atom
# E above lowest polymorph ... 0.003 eV per atom
# Formation energy ... 806 meV/atom
# Calculated volume ... 17.46 Å³ per atom

No. 7
# NpAg3Br6Cl2 | Alexandria via LeMat-Bulk | PBE-GGA | optimized geometry
data_NpAg3Br6Cl2
_chemical_formula_sum 'Np1 Ag3 Br6 Cl2'
_cell_length_a 8.1886
_cell_length_b 8.1886
_cell_length_c 6.8753
_cell_angle_alpha 105.82
_cell_angle_beta 105.82
_cell_angle_gamma 59.07
_space_group_name_H-M_alt 'P 1'
_space_group_IT_number 1
loop_
_space_group_symop_operation_xyz
'x,y,z'
loop_
_atom_site_label
_atom_site_fract_x
_atom_site_fract_y
_atom_site_fract_z
_atom_site_occupancy
Np1 0.0000 0.0000 0.0000 1
Ag1 0.0000 0.5000 0.0000 1
Ag2 0.5000 0.0000 0.0000 1
Ag3 0.5000 0.5000 0.5000 1
Br1 0.1210 0.1210 0.7556 1
Br2 0.1311 0.6527 0.7542 1
Br3 0.3473 0.8689 0.2458 1
Br4 0.6527 0.1311 0.7542 1
Br5 0.8689 0.3473 0.2458 1
Br6 0.8790 0.8790 0.2444 1
Cl1 0.3457 0.3457 0.2199 1
Cl2 0.6543 0.6543 0.7801 1
# Spin magnetization ... 0.16 μB/atom
# E_form (uncorrected) ... -8.72 eV/f.u.
# Calculated volume ... 31.30 Å³ per atom

No. 8
# In2SbTe2 | Alexandria via LeMat-Bulk | PBE-GGA | optimized geometry
data_In2SbTe2
_chemical_formula_sum 'In2 Sb1 Te2'
_cell_length_a 9.1972
_cell_length_b 9.1972
_cell_length_c 9.1972
_cell_angle_alpha 153.82
_cell_angle_beta 153.82
_cell_angle_gamma 37.36
_space_group_name_H-M_alt 'P 1'
_space_group_IT_number 1
loop_
_space_group_symop_operation_xyz
'x,y,z'
loop_
_atom_site_label
_atom_site_fract_x
_atom_site_fract_y
_atom_site_fract_z
_atom_site_occupancy
In1 0.2500 0.7500 0.5000 1
In2 0.7500 0.2500 0.5000 1
Sb1 0.0000 0.0000 0.0000 1
Te1 0.4031 0.4031 0.0000 1
Te2 0.5969 0.5969 0.0000 1
# Spin magnetization ... 0.00 μB/atom
# E_form (uncorrected) ... 0.65 eV/f.u.
# E above lowest polymorph ... 0.144 eV per atom
# Calculated volume ... 30.23 Å³ per atom

No. 9
# Nd6Sm3Ho2 | Alexandria via LeMat-Bulk | PBE-GGA | optimized geometry
data_Nd6Sm3Ho2
_chemical_formula_sum 'Nd6 Sm3 Ho2'
_cell_length_a 17.3074
_cell_length_b 17.3074
_cell_length_c 17.3074
_cell_angle_alpha 164.02
_cell_angle_beta 164.02
_cell_angle_gamma 22.68
_space_group_name_H-M_alt 'P 1'
_space_group_IT_number 1
loop_
_space_group_symop_operation_xyz
'x,y,z'
loop_
_atom_site_label
_atom_site_fract_x
_atom_site_fract_y
_atom_site_fract_z
_atom_site_occupancy
Nd1 0.1195 0.6195 0.5000 1
Nd2 0.2020 0.2020 0.0000 1
Nd3 0.3805 0.8805 0.5000 1
Nd4 0.6195 0.1195 0.5000 1
Nd5 0.7980 0.7980 0.0000 1
Nd6 0.8805 0.3805 0.5000 1
Sm1 0.3032 0.3032 0.0000 1
Sm2 0.5000 0.5000 0.0000 1
Sm3 0.6968 0.6968 0.0000 1
Ho1 0.0451 0.0451 0.0000 1
Ho2 0.9549 0.9549 0.0000 1
# Spin magnetization ... 0.00 μB/atom
# E above lowest polymorph ... 0.266 eV per atom
# Formation energy ... 279 meV/atom
# Calculated volume ... 35.73 Å³ per atom

No. 10
# ZnSiPt2 | Alexandria via LeMat-Bulk | PBE-GGA | optimized geometry
data_ZnSiPt2
_chemical_formula_sum 'Zn1 Si1 Pt2'
_cell_length_a 3.4259
_cell_length_b 3.4259
_cell_length_c 5.1734
_cell_angle_alpha 90.00
_cell_angle_beta 90.00
_cell_angle_gamma 90.00
_space_group_name_H-M_alt 'P 1'
_space_group_IT_number 1
loop_
_space_group_symop_operation_xyz
'x,y,z'
loop_
_atom_site_label
_atom_site_fract_x
_atom_site_fract_y
_atom_site_fract_z
_atom_site_occupancy
Zn1 0.0000 0.0000 0.0000 1
Si1 0.5000 0.5000 0.6775 1
Pt1 0.0000 0.0000 0.5134 1
Pt2 0.5000 0.5000 0.1659 1
# Spin magnetization ... 0.00 μB/atom
# E_form (uncorrected) ... -1.81 eV/f.u.
# Calculated volume ... 15.18 Å³ per atom

No. 11
# SrAl3H | Alexandria via LeMat-Bulk | PBE-GGA | optimized geometry
data_SrAl3H
_chemical_formula_sum 'Sr1 Al3 H1'
_cell_length_a 6.2402
_cell_length_b 6.2402
_cell_length_c 6.2402
_cell_angle_alpha 90.00
_cell_angle_beta 90.00
_cell_angle_gamma 90.00
_space_group_name_H-M_alt 'P 1'
_space_group_IT_number 1
loop_
_space_group_symop_operation_xyz
'x,y,z'
loop_
_atom_site_label
_atom_site_fract_x
_atom_site_fract_y
_atom_site_fract_z
_atom_site_occupancy
Sr1 0.0000 0.0000 0.0000 1
Al1 0.0000 0.0000 0.5000 1
Al2 0.0000 0.5000 0.0000 1
Al3 0.5000 0.0000 0.0000 1
H1 0.5000 0.5000 0.5000 1
# Spin magnetization ... 0.46 μB/atom
# E above lowest polymorph ... 1.554 eV per atom
# Calculated volume ... 48.60 Å³ per atom

No. 12
# Ho5Te2H | Alexandria via LeMat-Bulk | PBE-GGA | optimized geometry
data_Ho5Te2H
_chemical_formula_sum 'Ho10 Te4 H2'
_cell_length_a 8.7510
_cell_length_b 8.7510
_cell_length_c 14.0012
_cell_angle_alpha 90.00
_cell_angle_beta 90.00
_cell_angle_gamma 153.25
_space_group_name_H-M_alt 'P 1'
_space_group_IT_number 1
loop_
_space_group_symop_operation_xyz
'x,y,z'
loop_
_atom_site_label
_atom_site_fract_x
_atom_site_fract_y
_atom_site_fract_z
_atom_site_occupancy
Ho1 0.1082 0.8918 0.6271 1
Ho2 0.1082 0.8918 0.8729 1
Ho3 0.2514 0.7486 0.2500 1
Ho4 0.3149 0.6851 0.5477 1
Ho5 0.3149 0.6851 0.9523 1
Ho6 0.6851 0.3149 0.0477 1
Ho7 0.6851 0.3149 0.4523 1
Ho8 0.7486 0.2514 0.7500 1
Ho9 0.8918 0.1082 0.1271 1
Ho10 0.8918 0.1082 0.3729 1
Te1 0.0711 0.9289 0.1152 1
Te2 0.0711 0.9289 0.3848 1
Te3 0.9289 0.0711 0.6152 1
Te4 0.9289 0.0711 0.8848 1
H1 0.1877 0.8123 0.7500 1
H2 0.8123 0.1877 0.2500 1
# E_tot ... -71.8 eV per cell
# Spin magnetization ... 0.03 μB/atom
# Calculated volume ... 30.16 Å³ per atom

Question: Which of these has the highest spin magnetization?
Answer: TbEu2Ag